1.
Compound: Co3IrRh2
Source: the Alexandria database
Functional: GGA-PBE
Structure: relaxed

Cell lengths 7.8203, 8.7585, 4.6411 Å; angles 90.00, 90.00, 90.00 degrees
With the nearest neighbours (Å) after each atom.
Space group Cmcm (No. 63)
Inequivalent atoms, fractional coordinates:
Co1 0.0000 0.0565 0.2500 (multiplicity 4)  1 Ir 2.47, 6 Co 2.49-2.52
Co2 0.2252 0.5000 0.0000 (multiplicity 8)  4 Co 2.32-2.49, 2 Ir 2.54, 4 Rh 2.57-2.59
Ir1 0.0000 0.3380 0.2500 (multiplicity 4)  5 Co 2.47-2.54, 2 Rh 2.72
Rh1 0.1635 0.2415 0.7500 (multiplicity 8)  3 Rh 2.56-2.69, 4 Co 2.57-2.59, 3 Ir 2.72-2.78

Summary:
Its calculated formation energy is 0.1866 eV/atom.

---

2.
Compound: Tl3In3Pb
Source: the Alexandria database
Functional: GGA-PBE
Structure: relaxed

Cell lengths 9.1810, 9.1810, 5.6582 Å; angles 90.00, 90.00, 120.00 degrees
With the nearest neighbours (Å) after each atom.
Space group P6_3/m (No. 176)
Inequivalent atoms, fractional coordinates:
Tl1 0.0954 0.4683 0.2500 (multiplicity 6)  5 In 3.35-3.64, 3 Pb 3.48-3.49, 4 Tl 3.51-3.53
In1 0.0543 0.2316 0.7500 (multiplicity 6)  6 In 3.34-3.42, 5 Tl 3.35-3.64, 1 Pb 3.51
Pb1 0.3333 0.6667 0.7500 (multiplicity 2)  9 Tl 3.48-3.49, 3 In 3.51

Summary:
The value obtained for the excess energy over the best structure of this formula in the dataset is 0 meV/atom. Its calculated formation energy is 0.0147 eV/atom.

---

3.
Compound: Ta2Be2V
Source: the Alexandria database
Functional: GGA-PBE
Structure: relaxed

Cell lengths 6.3171, 6.3171, 3.3261 Å; angles 90.00, 90.00, 90.00 degrees
With the nearest neighbours (Å) after each atom.
Space group P4/mbm (No. 127)
Inequivalent atoms, fractional coordinates:
Ta1 0.1799 0.3201 0.0000 (multiplicity 4)  6 Be 2.46-2.54
Be1 0.1165 0.6165 0.5000 (multiplicity 4)  1 Be 2.08
V1 0.0000 0.0000 0.5000 (multiplicity 2)  4 Be 2.53

Summary:
The value obtained for the excess energy over the best structure of this formula in the dataset is 0 meV/atom. Its calculated formation energy is -0.1488 eV/atom.

---

4.
Compound: CsCaGeSeO
Source: the Alexandria database
Functional: GGA-PBE
Structure: relaxed

Cell lengths 12.4528, 4.4649, 6.2658 Å; angles 90.00, 98.60, 90.00 degrees
With the nearest neighbours (Å) after each atom.
Space group Cm (No. 8)
Inequivalent atoms, fractional coordinates:
Cs1 0.0000 0.0000 0.0000 (multiplicity 2)  2 O 3.20
Ca1 0.2381 0.5000 0.3777 (multiplicity 2)  1 O 2.14
Ge1 0.4391 0.0000 0.4680 (multiplicity 2)  1 O 1.80
Se1 0.2905 0.0000 0.1249 (multiplicity 2)  1 Ge 2.62, 2 Ca 2.87
O1 0.0653 0.5000 0.3611 (multiplicity 2)  1 Ge 1.80

Summary:
The formation energy from raw total energies is -1.270 eV/atom. The value obtained for the excess energy over the best structure of this formula in the dataset is 92 meV/atom.

---

no.,density of states at the Fermi level (states/eV/f.u.)
1,7.37
2,2.94
3,5.00
4,1.78